Ho6ZnTe3: relaxed, PBE.

## Properties
* magnetization: 0.00 μB per cell
* uncorrected formation energy: -741 meV per atom
* V: 582 Å³ per cell

a = 3.969 Å, b = 11.938 Å, c = 12.668 Å
α = 104.16°, β = 90.00°, γ = 90.00°
Positions (direct):
Te1 0.250 0.328 0.487
Te2 0.250 0.617 0.140
Te3 0.750 0.383 0.860
Te4 0.750 0.672 0.513
Te5 0.250 0.841 0.951
Te6 0.750 0.159 0.049
Ho1 0.250 0.055 0.868
Ho2 0.750 0.790 0.757
Ho3 0.250 0.210 0.243
Ho4 0.250 0.892 0.541
Ho5 0.750 0.485 0.650
Ho6 0.250 0.240 0.696
Ho7 0.250 0.581 0.886
Ho8 0.750 0.108 0.459
Ho9 0.750 0.419 0.114
Ho10 0.250 0.515 0.350
Ho11 0.750 0.945 0.132
Ho12 0.750 0.760 0.304
Zn1 0.750 0.040 0.687
Zn2 0.250 0.960 0.313



AcPm3Dy4: relaxed, PBE.

## Properties
* magnetization: 0.00 μB per cell
* V: 275 Å³ per cell
* calculated total energy: -4.440 eV per atom

a = 3.499 Å, b = 9.066 Å, c = 9.066 Å
α = 81.31°, β = 78.87°, γ = 78.87°
Positions (direct):
Dy1 0.364 0.390 0.883
Dy2 0.636 0.117 0.610
Dy3 0.636 0.610 0.117
Dy4 0.364 0.883 0.390
Pm1 0.757 0.243 0.243
Pm2 0.000 0.500 0.500
Pm3 0.243 0.757 0.757
Ac1 0.500 0.000 0.000



RbAs3Pb3: relaxed, PBE.

## Properties
* magnetization: 0.00 μB per cell
* V: 547 Å³ per cell
* calculated total energy: -3.733 eV per atom

a = 8.176 Å, b = 8.176 Å, c = 8.176 Å
α = 90.00°, β = 90.00°, γ = 90.00°
Positions (direct):
As1 0.000 0.750 0.500
As2 0.250 0.500 0.000
As3 0.500 0.000 0.250
As4 0.000 0.250 0.500
As5 0.500 0.000 0.750
As6 0.750 0.500 0.000
Pb1 0.250 0.000 0.500
Pb2 0.500 0.750 0.000
Pb3 0.500 0.250 0.000
Pb4 0.000 0.500 0.750
Pb5 0.750 0.000 0.500
Pb6 0.000 0.500 0.250
Rb1 0.500 0.500 0.500
Rb2 0.000 0.000 0.000



TaCrW: relaxed, PBE.

## Properties
* magnetization: 0.00 μB per cell
* V: 46 Å³ per cell
* calculated total energy: -11.425 eV per atom

a = 4.383 Å, b = 4.383 Å, c = 2.780 Å
α = 90.00°, β = 90.00°, γ = 120.00°
Positions (direct):
Ta1 0.333 0.667 0.324
W1 0.667 0.333 0.683
Cr1 0.000 0.000 0.994